VASP calculation (GGA-PBE) on SrPr2PuS4 after structural relaxation.

POSCAR file:
```
SrPr2PuS4
1.0
4.092 0.000 0.000
0.000 7.137 -0.153
0.000 2.502 6.669
Pu S Pr Sr
1 4 2 1
direct
0.500 0.500 0.000
0.000 0.257 0.240
0.500 0.249 0.757
0.000 0.743 0.760
0.500 0.751 0.243
0.500 0.000 0.500
0.000 0.000 0.000
0.000 0.500 0.500
```

SG: P2/m
Formation energy without anion corrections (eV/atom): -1.953
Magnetization (μB/cell): 5.78
Uncorrected energy (eV per atom): -7.2135